A plane-wave DFT calculation with GGA-PBE was carried out for a geometry-optimized GaAg2C structure.

Lattice parameters (Å, degrees): 4.9891 4.9891 7.1896 69.70 69.70 90.00
Sites, in units of the cell vectors:
1 C 0.5000 0.5000 0.0000
2 C 0.2500 0.7500 0.5000
3 Ga 0.0000 0.0000 0.0000
4 Ga 0.7500 0.2500 0.5000
5 Ag 0.2328 0.6250 0.2500
6 Ag 0.8750 0.7672 0.7500
7 Ag 0.3750 0.4828 0.7500
8 Ag 0.5172 0.1250 0.2500

Calculated values
DFT formation energy: 1148 meV per atom
symmetry: I-42d
total energy: -26.72 eV per cell
crystal system: tetragonal
total magnetization: 0.0 μB per formula unit